Entry 1:
Entry from the Alexandria database: a geometry-optimized BaLa3Pa4N12 structure (PBE).

a b c (Å): 7.516 7.516 7.516
angles (deg): 109.47 109.47 109.47
Sites, in units of the cell vectors:
N 0.788 0.083 0.295
N 0.295 0.212 0.507
N 0.705 0.788 0.493
N 0.788 0.493 0.705
N 0.212 0.917 0.705
N 0.917 0.705 0.212
N 0.212 0.507 0.295
N 0.083 0.295 0.788
N 0.493 0.705 0.788
N 0.705 0.212 0.917
N 0.295 0.788 0.083
N 0.507 0.295 0.212
Pa 0.500 0.000 0.000
Pa 0.000 0.500 0.000
Pa 0.000 0.000 0.500
Pa 0.500 0.500 0.500
La 0.000 0.500 0.500
La 0.500 0.000 0.500
La 0.500 0.500 0.000
Ba 0.000 0.000 0.000

Entry 2:
Entry from the Alexandria database: a geometry-optimized Ba4LaPa3N8 structure (PBE).

a b c (Å): 7.377 7.731 7.377
angles (deg): 118.50 120.00 90.00
Sites, in units of the cell vectors:
Ba 0.000 0.000 0.000
Ba 0.500 0.000 0.500
Ba 0.500 0.000 0.000
Ba 0.000 0.000 0.500
N 0.239 0.675 0.478
N 0.761 0.325 0.522
N 0.761 0.325 0.064
N 0.239 0.675 0.936
N 0.726 0.677 0.451
N 0.697 0.675 0.936
N 0.274 0.323 0.549
N 0.303 0.325 0.064
Pa 0.500 0.500 0.000
Pa 0.000 0.500 0.500
Pa 0.500 0.500 0.500
La 0.000 0.500 0.000

Entry 3:
Entry from the Alexandria database: a geometry-optimized Ba2LaPbN structure (PBE).

a b c (Å): 5.707 5.707 5.015
angles (deg): 90.00 90.00 90.00
Sites, in units of the cell vectors:
Ba 0.000 0.500 0.000
Ba 0.500 0.000 0.000
Pb 0.500 0.500 0.500
La 0.000 0.000 0.500
N 0.000 0.000 0.000

| no. | raw total energy (Ha/atom) | E_form (uncorrected) (meV/atom) |
| --- | --- | --- |
| 1 | -0.3270 | -1168 |
| 2 | -0.2925 | -1227 |
| 3 | -0.1768 | -651 |